Record 1
A relaxed YMgSb2I crystal, computed with GGA-PBE.

Results
**Formation energy without anion corrections**: 0.089 eV/f.u.
**E above lowest polymorph**: 0 meV per atom
**Symmetry**: No. 123
**ρ**: 4.98 Mg/m³

Lattice parameters (Å, degrees): 5.337 5.337 5.663 90.00 90.00 90.00
Positions (direct):
Y 0.000 0.000 0.000
Mg 0.500 0.500 0.500
Sb 0.000 0.500 0.500
Sb 0.500 0.000 0.500
I 0.500 0.500 0.000

---

Record 2
A relaxed Ac2LaYEr crystal, computed with GGA-PBE.

Results
**DFT formation energy**: 1.25 eV per formula unit
**Symmetry**: No. 13
**ρ**: 7.19 Mg/m³

Lattice parameters (Å, degrees): 8.959 6.737 6.498 90.00 90.04 90.00
Positions (direct):
Ac 0.204 0.216 0.250
Ac 0.204 0.784 0.750
Ac 0.796 0.216 0.250
Ac 0.796 0.784 0.750
La 0.500 0.078 0.750
La 0.500 0.922 0.250
Y 0.000 0.311 0.750
Y 0.000 0.689 0.250
Er 0.500 0.500 0.000
Er 0.500 0.500 0.500

---

Record 3
A relaxed Hf3Nb5Sb2 crystal, computed with GGA-PBE.

Results
**Formation energy without anion corrections**: 1.911 eV/f.u.
**Symmetry**: No. 72
**ρ**: 9.61 Mg/m³

Lattice parameters (Å, degrees): 9.275 9.275 9.275 107.36 83.52 144.52
Positions (direct):
Hf 0.218 0.138 0.357
Hf 0.250 0.250 0.000
Hf 0.282 0.638 0.920
Hf 0.718 0.362 0.080
Hf 0.750 0.750 0.000
Hf 0.782 0.862 0.643
Nb 0.150 0.412 0.561
Nb 0.250 0.505 0.255
Nb 0.250 0.750 0.500
Nb 0.250 0.995 0.745
Nb 0.350 0.912 0.262
Nb 0.650 0.088 0.738
Nb 0.750 0.005 0.255
Nb 0.750 0.250 0.500
Nb 0.750 0.495 0.745
Nb 0.850 0.588 0.439
Sb 0.154 0.865 0.020
Sb 0.346 0.365 0.711
Sb 0.654 0.635 0.289
Sb 0.846 0.135 0.980

---

VASP energy values, unit eV per atom, following the record order: -3.55 -4.58 -8.65.
DOS at the Fermi energy values, unit states/eV per cell, following the record order: 2.30 11.79 22.26.